(1)
First-principles (SCAN) data for BaHf2Ni2 at its PBEsol-relaxed geometry, as listed in Alexandria.

Cell: 6.197 6.197 6.197 Å, 137.73 137.73 61.31°
Atoms (fractional coordinates):
Ba1 0.000 0.000 0.000
Hf1 0.250 0.750 0.500
Hf2 0.750 0.250 0.500
Ni1 0.372 0.372 0.000
Ni2 0.628 0.628 0.000

**Space group**: No. 139
**Formation energy**: -32 meV/atom
**Theoretical density**: 9.5 g/cm³



(2)
First-principles (SCAN) data for MgZrAu2 at its PBEsol-relaxed geometry, as listed in Alexandria.

Cell: 3.064 3.255 7.267 Å, 90.00 90.00 90.00°
Atoms (fractional coordinates):
Mg1 0.000 0.000 0.000
Zr1 0.000 0.000 0.500
Au1 0.500 0.500 0.238
Au2 0.500 0.500 0.762

**Space group**: No. 47
**Formation energy**: -757 meV/atom
**Theoretical density**: 11.7 g/cm³



(3)
First-principles (SCAN) data for InCoI2O at its PBEsol-relaxed geometry, as listed in Alexandria.

Cell: 5.558 5.558 3.606 Å, 90.00 90.00 90.00°
Atoms (fractional coordinates):
In1 0.000 0.000 0.000
Co1 0.500 0.500 0.500
I1 0.000 0.500 0.500
I2 0.500 0.000 0.500
O1 0.500 0.500 0.000

**Space group**: No. 123
**Theoretical density**: 6.6 g/cm³
**E**: -26.437 eV/atom



(4)
First-principles (SCAN) data for ScAsIr at its PBEsol-relaxed geometry, as listed in Alexandria.

Cell: 4.739 4.739 4.739 Å, 141.61 130.27 64.52°
Atoms (fractional coordinates):
Sc1 0.000 0.000 0.000
As1 0.672 0.672 0.000
Ir1 0.354 0.354 0.000

**Space group**: No. 44
**Formation energy**: -592 meV/atom
**Theoretical density**: 10.4 g/cm³



(5)
First-principles (SCAN) data for KIn2Os at its PBEsol-relaxed geometry, as listed in Alexandria.

Cell: 4.519 4.519 7.877 Å, 94.52 94.52 36.73°
Atoms (fractional coordinates):
K1 0.000 0.000 0.000
In1 0.236 0.236 0.685
In2 0.764 0.764 0.315
Os1 0.500 0.500 0.500

**Polymorph energy (0 for the lowest one)**: 0.000 eV per atom
**Space group**: No. 12
**Formation energy**: 386 meV/atom
**Theoretical density**: 7.9 g/cm³



(6)
First-principles (SCAN) data for BaW2Au at its PBEsol-relaxed geometry, as listed in Alexandria.

Cell: 4.837 4.837 4.837 Å, 60.00 60.00 60.00°
Atoms (fractional coordinates):
Ba1 0.000 0.000 0.000
W1 0.500 0.500 0.500
W2 0.750 0.750 0.750
Au1 0.250 0.250 0.250

**Polymorph energy (0 for the lowest one)**: 0.114 eV per atom
**Space group**: No. 216
**Formation energy**: 1351 meV/atom
**Theoretical density**: 14.6 g/cm³



(7)
First-principles (SCAN) data for Sc2ZnPb at its PBEsol-relaxed geometry, as listed in Alexandria.

Cell: 5.179 5.179 5.179 Å, 129.15 129.15 74.76°
Atoms (fractional coordinates):
Sc1 0.250 0.750 0.500
Sc2 0.750 0.250 0.500
Zn1 0.000 0.000 0.000
Pb1 0.500 0.500 0.000

**Space group**: No. 139
**Formation energy**: -493 meV/atom
**Theoretical density**: 7.4 g/cm³



(8)
First-principles (SCAN) data for BaSiTc at its PBEsol-relaxed geometry, as listed in Alexandria.

Cell: 4.678 4.678 4.678 Å, 60.00 60.00 60.00°
Atoms (fractional coordinates):
Ba1 0.000 0.000 0.000
Si1 0.750 0.750 0.750
Tc1 0.500 0.500 0.500

**Space group**: No. 216
**Theoretical density**: 6.0 g/cm³
**E**: -27.175 eV/atom